[1]
## NbReTc3 (PBE-GGA)

Data for NbReTc3 after structural relaxation.

The structure in POSCAR format:
```
NbReTc3
1.0
4.5991 0.0000 0.0000
0.0000 4.5991 0.0000
0.0000 0.0000 4.5991
Nb Re Tc
1 1 3
direct
0.0000 0.0000 0.0000 Nb
0.5000 0.5000 0.5000 Re
0.0000 0.0000 0.5000 Tc
0.0000 0.5000 0.0000 Tc
0.5000 0.0000 0.0000 Tc
```

Values from the calculation:
E_form, eV/f.u.: 10.9
Theoretical density, g/cm3: 9.8
Spin magnetization, μB/f.u.: 0.00
E_tot, eV per atom: -8.538

---

[2]
## Nb2ReTc (PBE-GGA)

Data for Nb2ReTc after structural relaxation.

The structure in POSCAR format:
```
Nb2ReTc
1.0
0.0000 3.1999 3.1999
3.1999 0.0000 3.1999
3.1999 3.1999 0.0000
Nb Re Tc
2 1 1
direct
0.2500 0.2500 0.2500 Nb
0.7500 0.7500 0.7500 Nb
0.0000 0.0000 0.0000 Re
0.5000 0.5000 0.5000 Tc
```

Values from the calculation:
E_form, eV/f.u.: -1.3
Theoretical density, g/cm3: 11.9
Spin magnetization, μB/f.u.: 0.00
E_tot, eV per atom: -11.053

---

[3]
## Nb4ReTc3 (PBE-GGA)

Data for Nb4ReTc3 after structural relaxation.

The structure in POSCAR format:
```
Nb4ReTc3
1.0
3.1990 0.0000 0.0000
0.0000 4.5201 0.0000
0.0000 0.0000 9.0374
Nb Re Tc
4 1 3
direct
0.0000 0.0000 0.0000 Nb
0.0000 0.0000 0.5000 Nb
0.0000 0.5000 0.2504 Nb
0.0000 0.5000 0.7496 Nb
0.5000 0.5000 0.0000 Re
0.5000 0.0000 0.2504 Tc
0.5000 0.0000 0.7496 Tc
0.5000 0.5000 0.5000 Tc
```

Values from the calculation:
E_form, eV/f.u.: -2.6
Theoretical density, g/cm3: 10.8
Spin magnetization, μB/f.u.: 0.00
E_tot, eV per atom: -10.806

---

[4]
## NbVReTc (PBE-GGA)

Data for NbVReTc after structural relaxation.

The structure in POSCAR format:
```
NbVReTc
1.0
0.0000 3.1231 3.1231
3.1231 0.0000 3.1231
3.1231 3.1231 0.0000
Nb V Re Tc
1 1 1 1
direct
0.0000 0.0000 0.0000 Nb
0.5000 0.5000 0.5000 V
0.2500 0.2500 0.2500 Re
0.7500 0.7500 0.7500 Tc
```

Values from the calculation:
E_form, eV/f.u.: -1.2
Theoretical density, g/cm3: 11.7
Spin magnetization, μB/f.u.: 0.00
E_tot, eV per atom: -10.788

---

[5]
## YNb2ReTc (PBE-GGA)

Data for YNb2ReTc after structural relaxation.

The structure in POSCAR format:
```
YNb2ReTc
1.0
4.7252 0.0000 0.0000
0.0000 4.7252 0.0000
0.0000 0.0000 5.1137
Y Nb Re Tc
1 2 1 1
direct
0.0000 0.0000 0.0000 Y
0.0000 0.5000 0.5000 Nb
0.5000 0.0000 0.5000 Nb
0.5000 0.5000 0.0000 Re
0.0000 0.0000 0.5000 Tc
```

Values from the calculation:
E_form, eV/f.u.: 7.0
Theoretical density, g/cm3: 8.1
Spin magnetization, μB/f.u.: 0.69
E_tot, eV per atom: -8.485

---

[6]
## NbReTe3 (PBE-GGA)

Data for NbReTe3 after structural relaxation.

The structure in POSCAR format:
```
NbReTe3
1.0
5.2151 0.0000 0.0000
0.0000 5.2151 0.0000
0.0000 0.0000 5.2151
Nb Re Te
1 1 3
direct
0.0000 0.0000 0.0000 Nb
0.5000 0.5000 0.5000 Re
0.0000 0.5000 0.5000 Te
0.5000 0.0000 0.5000 Te
0.5000 0.5000 0.0000 Te
```

Values from the calculation:
ΔE_f (raw), eV/atom: 1.184
Theoretical density, g/cm3: 7.7
Spin magnetization, μB/f.u.: 2.85
E_tot, eV per atom: -5.204
Polymorph energy (0 for the lowest one), eV/atom: 0.000

---

[7]
## NbRe2Te (PBE-GGA)

Data for NbRe2Te after structural relaxation.

The structure in POSCAR format:
```
NbRe2Te
1.0
-1.9655 1.9655 10.0767
1.9655 -1.9655 10.0767
1.9655 1.9655 -10.0767
Nb Re Te
2 4 2
direct
0.0000 0.0000 0.0000 Nb
0.7500 0.2500 0.5000 Nb
0.0656 0.6250 0.9406 Re
0.3750 0.3156 0.4406 Re
0.6844 0.1250 0.0594 Re
0.8750 0.9344 0.5594 Re
0.2500 0.7500 0.5000 Te
0.5000 0.5000 0.0000 Te
```

Values from the calculation:
ΔE_f (raw), eV/atom: 0.844
Theoretical density, g/cm3: 12.6
Spin magnetization, μB/f.u.: 0.00
E_tot, eV per atom: -8.683

---

[8]
## NbReTe6 (PBE-GGA)

Data for NbReTe6 after structural relaxation.

The structure in POSCAR format:
```
NbReTe6
1.0
6.4306 0.0000 0.0000
3.0419 6.0711 0.0000
3.1800 1.3512 5.9583
Nb Re Te
1 1 6
direct
0.0000 0.0000 0.0000 Nb
0.5000 0.5000 0.5000 Re
0.0546 0.7099 0.7763 Te
0.3006 0.5962 0.1943 Te
0.4038 0.1149 0.6793 Te
0.5962 0.8851 0.3207 Te
0.6994 0.4038 0.8057 Te
0.9454 0.2901 0.2237 Te
```

Values from the calculation:
ΔE_f (raw), eV/atom: 0.029
Theoretical density, g/cm3: 7.5
Spin magnetization, μB/f.u.: 0.00
E_tot, eV per atom: -5.142

---

[9]
## ThNbRe4 (PBE-GGA)

Data for ThNbRe4 after structural relaxation.

The structure in POSCAR format:
```
ThNbRe4
1.0
0.0000 3.8133 3.8133
3.8133 0.0000 3.8133
3.8133 3.8133 0.0000
Th Nb Re
1 1 4
direct
0.0000 0.0000 0.0000 Th
0.7500 0.7500 0.7500 Nb
0.3753 0.3753 0.3753 Re
0.3753 0.3753 0.8740 Re
0.3753 0.8740 0.3753 Re
0.8740 0.3753 0.3753 Re
```

Values from the calculation:
E_form, eV/f.u.: 0.5
Theoretical density, g/cm3: 16.0
Spin magnetization, μB/f.u.: 0.00
E_tot, eV per atom: -11.138

---

[10]
## Th2NbRe (PBE-GGA)

Data for Th2NbRe after structural relaxation.

The structure in POSCAR format:
```
Th2NbRe
1.0
1.6204 0.9356 10.5250
-1.6204 0.9356 10.5250
0.0000 -1.8711 10.5250
Th Nb Re
2 1 1
direct
0.0926 0.0926 0.0926 Th
0.9074 0.9074 0.9074 Th
0.0000 0.0000 0.0000 Nb
0.5000 0.5000 0.5000 Re
```

Values from the calculation:
E_form, eV/f.u.: 3.1
Theoretical density, g/cm3: 12.9
Spin magnetization, μB/f.u.: 0.00
E_tot, eV per atom: -8.558

---

> theoretical density of number 2 (Nb2ReTc)?

11.9 g/cm3

---

> Among the records above, which one has the highest theoretical density?

ThNbRe4

---

> Look up the theoretical density of the tenth one.

12.9 g/cm3

---

> theoretical density of number 8 (NbReTe6)?

7.5 g/cm3